[1]
Entry from the Open Quantum Materials Database: a relaxed ZrTa2Te2 crystal (PBE).

## Properties
Spin magnetization in Bohr magnetons per cell: 0.008
Calculated volume in Å³ per atom: 22.73
Total energy in eV/atom: -7.540

a = 3.8729 Å, b = 3.8729 Å, c = 8.0572 Å
α = 103.91°, β = 103.91°, γ = 90.00°
Closest atoms and distances in Å follow each position.
Fractional positions:
Zr: 0.0000 0.0000 0.0000  8 Te 3.18
Te: 0.6065 0.6065 0.2129  4 Ta 2.91, 4 Zr 3.18, 1 Te 3.23
Te: 0.3935 0.3935 0.7871  4 Ta 2.91, 4 Zr 3.18, 1 Te 3.23
Ta: 0.2500 0.7500 0.5000  4 Ta 2.74, 4 Te 2.91
Ta: 0.7500 0.2500 0.5000  4 Ta 2.74, 4 Te 2.91

---

[2]
Entry from the Open Quantum Materials Database: a relaxed BeAlFeAu crystal (PBE).

## Properties
Spin magnetization in Bohr magnetons per cell: 2.004
Energy above the most stable polymorph in this dataset in eV per atom: 0.170
Calculated volume in Å³ per atom: 13.27

a = 4.2189 Å, b = 4.2189 Å, c = 4.2189 Å
α = 60.00°, β = 60.00°, γ = 60.00°
Closest atoms and distances in Å follow each position.
Fractional positions:
Fe: 0.7500 0.7500 0.7500  4 Au 2.58, 4 Al 2.58
Au: 0.5000 0.5000 0.5000  4 Fe 2.58, 4 Be 2.58
Al: 0.0000 0.0000 0.0000  4 Fe 2.58, 4 Be 2.58
Be: 0.2500 0.2500 0.2500  4 Au 2.58, 4 Al 2.58

---

[3]
Entry from the Open Quantum Materials Database: a relaxed Lu3SiPt4 crystal (PBE).

## Properties
Spin magnetization in Bohr magnetons per cell: 0.001
Calculated volume in Å³ per atom: 19.69
Total energy in eV/atom: -6.513

a = 5.6223 Å, b = 4.0719 Å, c = 6.8824 Å
α = 90.00°, β = 91.74°, γ = 90.00°
Closest atoms and distances in Å follow each position.
Fractional positions:
Pt: 0.8475 0.0000 0.0456  6 Lu 2.77-3.02, 2 Pt 2.86
Pt: 0.1483 0.5000 0.8947  2 Si 2.61, 1 Lu 2.75, 2 Pt 2.86
Pt: 0.3286 0.5000 0.4944  2 Si 2.62, 4 Lu 2.79-2.93, 2 Pt 2.91
Pt: 0.6935 0.0000 0.5576  1 Si 2.49, 2 Lu 2.78
Lu: 0.6296 0.5000 0.8327  7 Pt 2.75-2.93
Lu: 0.3605 0.0000 0.1902  7 Pt 2.93-3.10
Lu: 0.8699 0.5000 0.3267  5 Pt 2.78-2.81
Si: 0.1220 0.0000 0.6581  5 Pt 2.49-2.62

---

[4]
Entry from the Open Quantum Materials Database: a relaxed NdAsN2O crystal (PBE).

## Properties
Spin magnetization in Bohr magnetons per cell: 0.003
Calculated volume in Å³ per atom: 11.68
Total energy in eV/atom: -6.961

a = 5.3829 Å, b = 8.0702 Å, c = 5.3775 Å
α = 90.00°, β = 90.00°, γ = 90.00°
Closest atoms and distances in Å follow each position.
Fractional positions:
Nd: 0.5416 0.7500 0.5109  2 O 2.41-2.51, 4 N 2.45-2.66
Nd: 0.9584 0.2500 0.0109  2 O 2.41-2.51, 4 N 2.45-2.66
Nd: 0.0416 0.7500 0.9891  2 O 2.41-2.51, 4 N 2.45-2.66
Nd: 0.4584 0.2500 0.4891  2 O 2.41-2.51, 4 N 2.45-2.66
O: 0.5012 0.7500 0.0651  2 As 2.05
O: 0.4988 0.2500 0.9349  2 As 2.05
O: 0.9988 0.2500 0.5651  2 As 2.05
O: 0.0012 0.7500 0.4349  2 As 2.05
N: 0.2907 0.9657 0.7105  2 As 1.94-1.95
N: 0.7907 0.5343 0.7895  2 As 1.94-1.95
N: 0.2093 0.0343 0.2105  2 As 1.94-1.95
N: 0.7093 0.4657 0.2895  2 As 1.94-1.95
N: 0.7907 0.9657 0.7895  2 As 1.94-1.95
N: 0.2093 0.4657 0.2105  2 As 1.94-1.95
N: 0.2907 0.5343 0.7105  2 As 1.94-1.95
N: 0.7093 0.0343 0.2895  2 As 1.94-1.95
As: 0.5000 0.0000 0.0000  4 N 1.94-1.95, 2 O 2.05
As: 0.0000 0.5000 0.5000  4 N 1.94-1.95, 2 O 2.05
As: 0.0000 0.0000 0.5000  4 N 1.94-1.95, 2 O 2.05
As: 0.5000 0.5000 0.0000  4 N 1.94-1.95, 2 O 2.05

---

[5]
Entry from the Open Quantum Materials Database: a relaxed Pr2Cu17 crystal (PBE).

## Properties
Formation energy in eV per atom: -0.0887
Spin magnetization in Bohr magnetons per cell: 0.000
Calculated volume in Å³ per atom: 13.97

a = 6.4732 Å, b = 6.4732 Å, c = 6.4732 Å
α = 82.88°, β = 82.88°, γ = 82.88°
Closest atoms and distances in Å follow each position.
Fractional positions:
Cu: 0.7086 0.2914 0.0000  8 Cu 2.45-2.63
Cu: 0.3442 0.8488 0.3442  9 Cu 2.47-2.66
Cu: 0.2914 0.7086 0.0000  8 Cu 2.45-2.63
Cu: 0.3442 0.3442 0.8488  9 Cu 2.47-2.66
Cu: 0.5000 0.0000 0.0000  10 Cu 2.45-2.62
Cu: 0.9027 0.9027 0.9027  7 Cu 2.44-2.66
Cu: 0.0000 0.0000 0.5000  10 Cu 2.45-2.62
Cu: 0.0000 0.7086 0.2914  8 Cu 2.45-2.63
Cu: 0.7086 0.0000 0.2914  8 Cu 2.45-2.63
Cu: 0.1512 0.6558 0.6558  9 Cu 2.47-2.66
Cu: 0.0000 0.2914 0.7086  8 Cu 2.45-2.63
Cu: 0.6558 0.6558 0.1512  9 Cu 2.47-2.66
Cu: 0.8488 0.3442 0.3442  9 Cu 2.47-2.66
Cu: 0.0973 0.0973 0.0973  7 Cu 2.44-2.66
Cu: 0.0000 0.5000 0.0000  10 Cu 2.45-2.62
Cu: 0.2914 0.0000 0.7086  8 Cu 2.45-2.63
Cu: 0.6558 0.1512 0.6558  9 Cu 2.47-2.66
Pr: 0.6565 0.6565 0.6565  19 Cu 3.05-3.32
Pr: 0.3435 0.3435 0.3435  19 Cu 3.05-3.32

---

[6]
Entry from the Open Quantum Materials Database: a relaxed NpTlIn crystal (PBE).

## Properties
Spin magnetization in Bohr magnetons per cell: 4.805
Energy above the most stable polymorph in this dataset in eV per atom: 0.000
Calculated volume in Å³ per atom: 30.27

a = 5.0450 Å, b = 5.0450 Å, c = 5.0450 Å
α = 60.00°, β = 60.00°, γ = 60.00°
Closest atoms and distances in Å follow each position.
Fractional positions:
In: 0.2500 0.2500 0.2500  4 Tl 3.09
Tl: 0.0000 0.0000 0.0000  4 In 3.09, 4 Np 3.09
Np: 0.7500 0.7500 0.7500  4 Tl 3.09

---

[7]
Entry from the Open Quantum Materials Database: a relaxed Hf2NbTc crystal (PBE).

## Properties
Formation energy in eV per atom: -0.0429
Spin magnetization in Bohr magnetons per cell: 0.008
Calculated volume in Å³ per atom: 18.42

a = 4.7054 Å, b = 4.7054 Å, c = 4.7054 Å
α = 60.00°, β = 60.00°, γ = 60.00°
Closest atoms and distances in Å follow each position.
Fractional positions:
Tc: 0.0000 0.0000 0.0000  4 Hf 2.88, 4 Nb 2.88
Hf: 0.2500 0.2500 0.2500  4 Hf 2.88, 4 Tc 2.88
Hf: 0.5000 0.5000 0.5000  4 Hf 2.88, 4 Nb 2.88
Nb: 0.7500 0.7500 0.7500  4 Hf 2.88, 4 Tc 2.88

---

[8]
Entry from the Open Quantum Materials Database: a relaxed Dy3Mg3AlTlCd crystal (PBE).

## Properties
Spin magnetization in Bohr magnetons per cell: 0.001
Calculated volume in Å³ per atom: 24.73
Total energy in eV/atom: -3.148

a = 7.4898 Å, b = 7.4898 Å, c = 4.5821 Å
α = 90.00°, β = 90.00°, γ = 120.00°
Closest atoms and distances in Å follow each position.
Fractional positions:
Mg: 0.9070 0.3276 0.0000  1 Al 2.87, 1 Tl 2.92, 2 Cd 2.93, 2 Mg 3.15
Mg: 0.6724 0.5793 0.0000  1 Al 2.87, 1 Tl 2.92, 2 Cd 2.93, 2 Mg 3.15
Mg: 0.4207 0.0930 0.0000  1 Al 2.87, 1 Tl 2.92, 2 Cd 2.93, 2 Mg 3.15
Dy: 0.0902 0.7657 0.5000  2 Al 3.16, 1 Cd 3.21, 2 Tl 3.24, 2 Mg 3.36
Dy: 0.6755 0.9098 0.5000  2 Al 3.16, 1 Cd 3.21, 2 Tl 3.24, 2 Mg 3.36
Dy: 0.2343 0.3245 0.5000  2 Al 3.16, 1 Cd 3.21, 2 Tl 3.24, 2 Mg 3.36
Tl: 0.3333 0.6667 0.0000  3 Mg 2.92, 6 Dy 3.24
Al: 0.0000 0.0000 0.0000  3 Mg 2.87, 6 Dy 3.16
Cd: 0.6667 0.3333 0.5000  6 Mg 2.93, 3 Dy 3.21